Record 1
Entry from Alexandria via LeMat-Bulk: crystalline Ho2SnPd4 at its relaxed geometry (PBE).

Calculated values
E_form   -5.69 eV per formula unit
Fermi-level density of states   3.42 states/eV/f.u.
DFT total energy   -5.66 eV per atom
Total magnetization   0.00 μB per formula unit

Geometry as CIF:
```
data_Ho2SnPd4
_chemical_formula_sum 'Ho2 Sn1 Pd4'
_space_group_name_H-M_alt 'P 1'
_space_group_IT_number 1
_cell_length_a 4.591
_cell_length_b 4.591
_cell_length_c 8.162
_cell_angle_alpha 106.15
_cell_angle_beta 106.15
_cell_angle_gamma 59.83
loop_
_space_group_symop_operation_xyz
'x,y,z'
loop_
_atom_site_label
_atom_site_type_symbol
_atom_site_fract_x
_atom_site_fract_y
_atom_site_fract_z
Ho1 Ho 0.072 0.072 0.215
Ho2 Ho 0.928 0.928 0.785
Sn1 Sn 0.500 0.500 0.500
Pd1 Pd 0.200 0.200 0.600
Pd2 Pd 0.326 0.326 0.979
Pd3 Pd 0.674 0.674 0.021
Pd4 Pd 0.800 0.800 0.400
```

---

Record 2
Entry from Alexandria via LeMat-Bulk: crystalline HoSnPd6 at its relaxed geometry (PBE).

Calculated values
E_form   -1.66 eV per formula unit
Fermi-level density of states   4.78 states/eV/f.u.
DFT total energy   -5.17 eV per atom
Total magnetization   0.00 μB per formula unit

Geometry as CIF:
```
data_HoSnPd6
_chemical_formula_sum 'Ho1 Sn1 Pd6'
_space_group_name_H-M_alt 'P 1'
_space_group_IT_number 1
_cell_length_a 5.449
_cell_length_b 5.449
_cell_length_c 5.449
_cell_angle_alpha 86.84
_cell_angle_beta 86.84
_cell_angle_gamma 86.84
loop_
_space_group_symop_operation_xyz
'x,y,z'
loop_
_atom_site_label
_atom_site_type_symbol
_atom_site_fract_x
_atom_site_fract_y
_atom_site_fract_z
Ho1 Ho 0.000 0.000 0.000
Sn1 Sn 0.500 0.500 0.500
Pd1 Pd 0.166 0.166 0.538
Pd2 Pd 0.166 0.538 0.166
Pd3 Pd 0.462 0.834 0.834
Pd4 Pd 0.538 0.166 0.166
Pd5 Pd 0.834 0.462 0.834
Pd6 Pd 0.834 0.834 0.462
```

---

Record 3
Entry from Alexandria via LeMat-Bulk: crystalline Ho3SnPd at its relaxed geometry (PBE).

Calculated values
E_form   -2.28 eV per formula unit
Fermi-level density of states   4.52 states/eV/f.u.
DFT total energy   -5.04 eV per atom
Total magnetization   0.00 μB per formula unit

Geometry as CIF:
```
data_Ho3SnPd
_chemical_formula_sum 'Ho12 Sn4 Pd4'
_space_group_name_H-M_alt 'P 1'
_space_group_IT_number 1
_cell_length_a 5.893
_cell_length_b 10.699
_cell_length_c 8.195
_cell_angle_alpha 90.00
_cell_angle_beta 90.00
_cell_angle_gamma 90.00
loop_
_space_group_symop_operation_xyz
'x,y,z'
loop_
_atom_site_label
_atom_site_type_symbol
_atom_site_fract_x
_atom_site_fract_y
_atom_site_fract_z
Ho1 Ho 0.009 0.099 0.136
Ho2 Ho 0.009 0.401 0.136
Ho3 Ho 0.217 0.250 0.719
Ho4 Ho 0.283 0.750 0.219
Ho5 Ho 0.491 0.599 0.636
Ho6 Ho 0.491 0.901 0.636
Ho7 Ho 0.509 0.099 0.364
Ho8 Ho 0.509 0.401 0.364
Ho9 Ho 0.717 0.250 0.781
Ho10 Ho 0.783 0.750 0.281
Ho11 Ho 0.991 0.599 0.864
Ho12 Ho 0.991 0.901 0.864
Sn1 Sn 0.000 0.000 0.500
Sn2 Sn 0.000 0.500 0.500
Sn3 Sn 0.500 0.000 0.000
Sn4 Sn 0.500 0.500 0.000
Pd1 Pd 0.066 0.750 0.583
Pd2 Pd 0.434 0.250 0.083
Pd3 Pd 0.566 0.750 0.917
Pd4 Pd 0.934 0.250 0.417
```

---

Record 4
Entry from Alexandria via LeMat-Bulk: crystalline Ho2SnPd8 at its relaxed geometry (PBE).

Calculated values
E_form   -7.31 eV per formula unit
Fermi-level density of states   3.81 states/eV/f.u.
DFT total energy   -5.64 eV per atom
Total magnetization   0.00 μB per formula unit

Geometry as CIF:
```
data_Ho2SnPd8
_chemical_formula_sum 'Ho2 Sn1 Pd8'
_space_group_name_H-M_alt 'P 1'
_space_group_IT_number 1
_cell_length_a 8.113
_cell_length_b 8.113
_cell_length_c 5.983
_cell_angle_alpha 111.56
_cell_angle_beta 111.56
_cell_angle_gamma 33.53
loop_
_space_group_symop_operation_xyz
'x,y,z'
loop_
_atom_site_label
_atom_site_type_symbol
_atom_site_fract_x
_atom_site_fract_y
_atom_site_fract_z
Ho1 Ho 0.189 0.189 0.189
Ho2 Ho 0.811 0.811 0.811
Sn1 Sn 0.500 0.500 0.500
Pd1 Pd 0.000 0.000 0.244
Pd2 Pd 0.000 0.000 0.756
Pd3 Pd 0.180 0.180 0.680
Pd4 Pd 0.358 0.358 0.095
Pd5 Pd 0.358 0.358 0.621
Pd6 Pd 0.642 0.642 0.379
Pd7 Pd 0.642 0.642 0.905
Pd8 Pd 0.820 0.820 0.320
```

---

Record 5
Entry from Alexandria via LeMat-Bulk: crystalline HoSn3Pd at its relaxed geometry (PBE).

Calculated values
E_form   -1.61 eV per formula unit
Fermi-level density of states   2.21 states/eV/f.u.
DFT total energy   -4.68 eV per atom
Total magnetization   0.00 μB per formula unit

Geometry as CIF:
```
data_HoSn3Pd
_chemical_formula_sum 'Ho2 Sn6 Pd2'
_space_group_name_H-M_alt 'P 1'
_space_group_IT_number 1
_cell_length_a 5.150
_cell_length_b 8.608
_cell_length_c 8.608
_cell_angle_alpha 138.26
_cell_angle_beta 90.00
_cell_angle_gamma 90.00
loop_
_space_group_symop_operation_xyz
'x,y,z'
loop_
_atom_site_label
_atom_site_type_symbol
_atom_site_fract_x
_atom_site_fract_y
_atom_site_fract_z
Ho1 Ho 0.250 0.215 0.785
Ho2 Ho 0.750 0.785 0.215
Sn1 Sn 0.250 0.215 0.137
Sn2 Sn 0.250 0.638 0.809
Sn3 Sn 0.250 0.690 0.335
Sn4 Sn 0.750 0.137 0.215
Sn5 Sn 0.750 0.335 0.690
Sn6 Sn 0.750 0.809 0.638
Pd1 Pd 0.250 0.028 0.310
Pd2 Pd 0.750 0.310 0.028
```

---

Record 6
Entry from Alexandria via LeMat-Bulk: crystalline Ho2Sn3Pd4 at its relaxed geometry (PBE).

Calculated values
E_form   -6.80 eV per formula unit
Fermi-level density of states   4.22 states/eV/f.u.
DFT total energy   -5.42 eV per atom
Total magnetization   0.00 μB per formula unit

Geometry as CIF:
```
data_Ho2Sn3Pd4
_chemical_formula_sum 'Ho4 Sn6 Pd8'
_space_group_name_H-M_alt 'P 1'
_space_group_IT_number 1
_cell_length_a 8.768
_cell_length_b 8.768
_cell_length_c 7.490
_cell_angle_alpha 90.00
_cell_angle_beta 90.00
_cell_angle_gamma 139.58
loop_
_space_group_symop_operation_xyz
'x,y,z'
loop_
_atom_site_label
_atom_site_type_symbol
_atom_site_fract_x
_atom_site_fract_y
_atom_site_fract_z
Ho1 Ho 0.102 0.898 0.907
Ho2 Ho 0.398 0.602 0.407
Ho3 Ho 0.602 0.398 0.593
Ho4 Ho 0.898 0.102 0.093
Sn1 Sn 0.000 0.000 0.500
Sn2 Sn 0.012 0.488 0.750
Sn3 Sn 0.488 0.012 0.250
Sn4 Sn 0.500 0.500 0.000
Sn5 Sn 0.512 0.988 0.750
Sn6 Sn 0.988 0.512 0.250
Pd1 Pd 0.166 0.834 0.521
Pd2 Pd 0.181 0.319 0.750
Pd3 Pd 0.319 0.181 0.250
Pd4 Pd 0.334 0.666 0.021
Pd5 Pd 0.666 0.334 0.979
Pd6 Pd 0.681 0.819 0.750
Pd7 Pd 0.819 0.681 0.250
Pd8 Pd 0.834 0.166 0.479
```

---

Which formula does entry 5 have?
HoSn3Pd

---

The highest DFT total energy belongs to which entry?
HoSn3Pd

---

Number 6 is which compound?
Ho2Sn3Pd4

---

The highest E_form belongs to which entry?
HoSn3Pd